VASP calculation (PBE) on a relaxed AlCrW2 crystal.

Structure (CIF):
```
data_AlCrW2
_cell_length_a 5.079
_cell_length_b 5.079
_cell_length_c 2.694
_cell_angle_alpha 80.33
_cell_angle_beta 80.33
_cell_angle_gamma 116.26
_symmetry_space_group_name_H-M 'P 1'
_symmetry_Int_Tables_number 1
loop_
_symmetry_equiv_pos_as_xyz
'x,y,z'
loop_
_atom_site_label
_atom_site_fract_x
_atom_site_fract_y
_atom_site_fract_z
W1 0.000 0.000 0.000
W2 0.500 0.500 0.000
Al1 0.500 0.000 0.500
Cr1 0.000 0.500 0.500
```

Values from the calculation:
Fermi-level density of states   0.779 states/eV per atom
Size of the total moment   0.004 μB/f.u.
Energy of formation from the pure elements   0.0950 eV per atom
Mass density   12.555 g cm⁻³